Entry 1:
The following is a GGA-PBE calculation of a relaxed structure of RuAu2Cl8, from Alexandria via LeMat-Bulk.

Properties
The value obtained for the formation energy (no corrections) is -260 meV per atom. The mass density comes out at 3.794 g/cm³. The total magnetic moment is 2.805 μB per formula unit.

Cell lengths 6.4342, 7.3577, 7.6914 Å; angles 92.93, 106.01, 101.51 degrees
Atoms (fractional coordinates):
Ru 0.0000 0.0000 0.0000
Au 0.4808 0.4068 0.2882
Au 0.5192 0.5932 0.7118
Cl 0.2064 0.4901 0.4689
Cl 0.2090 0.3130 0.0056
Cl 0.2089 0.8875 0.8401
Cl 0.2441 0.9604 0.2689
Cl 0.7559 0.0396 0.7311
Cl 0.7911 0.1125 0.1599
Cl 0.7910 0.6870 0.9944
Cl 0.7936 0.5099 0.5311



Entry 2:
The following is a GGA-PBE calculation of a relaxed structure of RuAuCl, from Alexandria via LeMat-Bulk.

Properties
The value obtained for the formation energy (no corrections) is 763 meV per atom. The value obtained for the energy relative to the lowest polymorph listed for this composition is 462 meV/atom. The mass density comes out at 9.063 g/cm³. The total magnetic moment is 2.314 μB per formula unit.

Cell lengths 4.4210, 4.4210, 4.4210 Å; angles 60.00, 60.00, 60.00 degrees
Atoms (fractional coordinates):
Ru 0.0000 0.0000 0.0000
Au 0.2500 0.2500 0.2500
Cl 0.7500 0.7500 0.7500



Look up the formation energy (no corrections) of the first one. -260 meV per atom



The lowest mass density belongs to which entry? RuAu2Cl8



Among the records above, which one has the lowest formation energy (no corrections)? RuAu2Cl8